No. 1
A crystal of KNa7V8O24 relaxed with PBEsol, computed with meta-GGA SCAN.

Raw formation energy ... -100.51 eV/f.u.

```
KNa7V8O24
1.0
-5.269 -0.767 2.460
-0.318 -9.020 -3.492
6.726 -3.057 7.286
O Na V K
24 7 8 1
Direct
0.917 0.991 0.652
0.438 0.489 0.145
0.215 0.104 0.126
0.800 0.760 0.350
0.288 0.245 0.358
0.936 0.502 0.142
0.712 0.245 0.642
0.083 0.991 0.348
0.785 0.104 0.874
0.219 0.740 0.143
0.781 0.740 0.857
0.419 0.014 0.656
0.200 0.760 0.650
0.717 0.587 0.633
0.281 0.904 0.878
0.283 0.587 0.367
0.719 0.904 0.122
0.208 0.402 0.630
0.281 0.253 0.857
0.792 0.402 0.370
0.562 0.489 0.855
0.581 0.014 0.344
0.064 0.502 0.858
0.719 0.253 0.143
0.000 0.589 0.500
0.500 0.409 0.500
0.500 0.091 0.000
0.000 0.284 0.000
0.000 0.910 0.000
0.500 0.720 0.000
0.000 0.220 0.500
0.707 0.092 0.710
0.796 0.915 0.287
0.204 0.915 0.713
0.781 0.583 0.797
0.219 0.583 0.203
0.721 0.409 0.205
0.279 0.409 0.795
0.293 0.092 0.290
0.500 0.800 0.500
```


No. 2
A crystal of K3NaW2O8 relaxed with PBEsol, computed with meta-GGA SCAN.

Raw formation energy ... -32.64 eV/f.u.

```
K3NaW2O8
1.0
6.036 0.000 0.000
-3.018 5.205 0.056
0.000 0.080 15.202
O K W Na
16 6 4 2
Direct
0.229 0.835 0.579
0.843 0.138 0.874
0.157 0.862 0.126
0.705 0.862 0.626
0.247 0.369 0.588
0.607 0.835 0.079
0.746 0.360 0.249
0.122 0.369 0.088
0.254 0.640 0.751
0.386 0.640 0.251
0.614 0.360 0.749
0.753 0.631 0.412
0.771 0.165 0.421
0.393 0.165 0.921
0.295 0.138 0.374
0.878 0.631 0.912
0.067 0.000 0.750
0.357 0.658 0.915
0.643 0.342 0.085
0.933 0.000 0.250
0.301 0.658 0.415
0.699 0.342 0.585
0.363 0.674 0.639
0.689 0.326 0.861
0.637 0.326 0.361
0.311 0.674 0.139
0.000 0.000 0.500
0.000 0.000 0.000
```


No. 3
A crystal of K2NaOs relaxed with PBEsol, computed with meta-GGA SCAN.

E_form ... 1.329 eV per atom

```
K2NaOs
1.0
-0.635 3.003 4.585
-2.798 -2.065 4.284
2.671 -1.415 4.616
K Na Os
2 1 1
Direct
0.750 0.750 0.750
0.250 0.250 0.250
0.000 0.000 0.000
0.500 0.500 0.500
```


No. 4
A crystal of K2NaP2 relaxed with PBEsol, computed with meta-GGA SCAN.

E_form ... -0.173 eV per atom
Energy above the lowest structure with this stoichiometry ... 0.2087 eV/atom

```
K2NaP2
1.0
4.694 0.000 0.000
0.000 4.694 0.000
-2.347 -2.347 6.515
K P Na
2 2 1
Direct
0.250 0.750 0.500
0.750 0.250 0.500
0.582 0.582 0.164
0.418 0.418 0.836
0.000 0.000 0.000
```


No. 5
A crystal of K2NaP2 relaxed with PBEsol, computed with meta-GGA SCAN.

E_form ... -0.382 eV per atom
Energy above the lowest structure with this stoichiometry ... 0.0000 eV/atom

```
K2NaP2
1.0
4.894 0.000 0.000
0.000 7.518 0.000
0.000 0.000 7.518
K P Na
4 4 2
Direct
0.500 0.322 0.178
0.500 0.678 0.822
0.500 0.178 0.678
0.500 0.822 0.322
0.000 0.899 0.601
0.000 0.601 0.101
0.000 0.399 0.899
0.000 0.101 0.399
0.000 0.000 0.000
0.000 0.500 0.500
```


No. 6
A crystal of K2Na3SiP3 relaxed with PBEsol, computed with meta-GGA SCAN.

Raw formation energy ... -4.94 eV/f.u.

```
K2Na3SiP3
1.0
-0.317 -2.626 3.896
10.915 5.625 4.679
-8.010 10.307 6.296
Na P K Si
12 12 8 4
Direct
0.250 0.071 0.059
0.750 0.735 0.244
0.250 0.429 0.559
0.750 0.321 0.413
0.750 0.765 0.744
0.250 0.679 0.587
0.750 0.571 0.441
0.250 0.235 0.256
0.250 0.265 0.756
0.750 0.179 0.913
0.750 0.929 0.941
0.250 0.821 0.087
0.750 0.218 0.111
0.250 0.718 0.389
0.250 0.608 0.148
0.250 0.892 0.648
0.750 0.934 0.142
0.250 0.434 0.358
0.250 0.782 0.889
0.750 0.566 0.642
0.750 0.282 0.611
0.250 0.066 0.858
0.750 0.392 0.852
0.750 0.108 0.352
0.250 0.557 0.802
0.250 0.140 0.509
0.750 0.640 0.991
0.750 0.443 0.198
0.750 0.860 0.491
0.250 0.943 0.302
0.250 0.360 0.009
0.750 0.057 0.698
0.750 0.413 0.703
0.250 0.913 0.797
0.250 0.587 0.297
0.750 0.087 0.203
```


No. 7
A crystal of K3Na2SnP3 relaxed with PBEsol, computed with meta-GGA SCAN.

E_form ... -0.515 eV per atom

```
K3Na2SnP3
1.0
6.609 0.000 0.000
-3.304 9.890 0.000
0.000 0.000 14.913
K P Na Sn
12 12 8 4
Direct
0.564 0.666 0.323
0.064 0.666 0.177
0.740 0.000 0.680
0.436 0.334 0.677
0.397 0.334 0.177
0.603 0.666 0.823
0.760 0.000 0.180
0.897 0.334 0.323
0.240 0.000 0.820
0.936 0.334 0.823
0.103 0.666 0.677
0.260 0.000 0.320
0.562 0.684 0.105
0.878 0.316 0.105
0.297 0.000 0.094
0.622 0.684 0.605
0.122 0.684 0.895
0.438 0.316 0.895
0.703 0.000 0.906
0.378 0.316 0.395
0.062 0.684 0.395
0.203 0.000 0.594
0.938 0.316 0.605
0.797 0.000 0.406
0.581 0.162 0.500
0.744 0.489 0.500
0.419 0.838 0.500
0.919 0.838 0.000
0.244 0.489 0.000
0.081 0.162 0.000
0.256 0.511 0.500
0.756 0.511 0.000
0.412 0.823 0.000
0.088 0.177 0.500
0.588 0.177 0.000
0.912 0.823 0.500
```


No. 8
A crystal of K2Na2Pb relaxed with PBEsol, computed with meta-GGA SCAN.

E_form ... 0.029 eV per atom
Energy above the lowest structure with this stoichiometry ... 0.1321 eV/atom

```
K2Na2Pb
1.0
-0.536 -3.970 -1.829
3.579 0.659 -2.479
4.760 -2.824 10.035
Na K Pb
2 2 1
Direct
0.250 0.750 0.500
0.750 0.250 0.500
0.591 0.591 0.181
0.409 0.409 0.819
0.000 0.000 0.000
```


No. 9
A crystal of KNa2Pb2 relaxed with PBEsol, computed with meta-GGA SCAN.

E_form ... -0.258 eV per atom

```
KNa2Pb2
1.0
-1.465 -1.781 2.696
7.986 -4.974 1.052
3.252 6.503 6.063
Na K Pb
4 2 4
Direct
0.500 0.675 0.825
0.500 0.175 0.675
0.500 0.825 0.325
0.500 0.325 0.175
0.000 0.000 0.000
0.000 0.500 0.500
0.000 0.617 0.117
0.000 0.883 0.617
0.000 0.383 0.883
0.000 0.117 0.383
```


No. 10
A crystal of K2Na2Pb relaxed with PBEsol, computed with meta-GGA SCAN.

E_form ... -0.103 eV per atom
Energy above the lowest structure with this stoichiometry ... 0.0000 eV/atom

```
K2Na2Pb
1.0
6.001 0.000 0.000
0.000 8.221 0.000
0.000 0.000 8.221
K Na Pb
4 4 2
Direct
0.500 0.309 0.191
0.500 0.691 0.809
0.500 0.191 0.691
0.500 0.809 0.309
0.000 0.349 0.849
0.000 0.849 0.651
0.000 0.651 0.151
0.000 0.151 0.349
0.000 0.000 0.000
0.000 0.500 0.500
```


No. 11
A crystal of K2NaZrPb relaxed with PBEsol, computed with meta-GGA SCAN.

E_form ... 0.897 eV per atom

```
K2NaZrPb
1.0
-4.869 -2.849 1.233
2.871 -5.561 -1.515
1.935 -0.664 6.105
K Zr Pb Na
2 1 1 1
Direct
0.000 0.500 0.000
0.000 0.000 0.500
0.500 0.500 0.500
0.000 0.000 0.000
0.500 0.000 0.000
```


No. 12
A crystal of KNa2Pd relaxed with PBEsol, computed with meta-GGA SCAN.

E_form ... 0.199 eV per atom

```
KNa2Pd
1.0
-1.596 -4.415 0.383
3.116 -0.829 3.433
-7.887 5.826 5.333
Pd Na K
2 4 2
Direct
0.250 0.750 0.500
0.000 0.000 0.000
0.125 0.070 0.750
0.930 0.375 0.250
0.625 0.680 0.750
0.320 0.875 0.250
0.750 0.250 0.500
0.500 0.500 0.000
```


No. 13
A crystal of KNa3Pd relaxed with PBEsol, computed with meta-GGA SCAN.

E_form ... 0.025 eV per atom

```
KNa3Pd
1.0
5.584 0.000 0.000
0.000 5.584 0.000
0.000 0.000 5.584
Na K Pd
3 1 1
Direct
0.000 0.000 0.500
0.500 0.000 0.000
0.000 0.500 0.000
0.500 0.500 0.500
0.000 0.000 0.000
```


No. 14
A crystal of K2NaPt relaxed with PBEsol, computed with meta-GGA SCAN.

E_form ... 0.103 eV per atom

```
K2NaPt
1.0
5.479 0.000 0.000
2.739 4.745 0.000
2.739 1.582 4.473
K Pt Na
2 1 1
Direct
0.250 0.250 0.250
0.750 0.750 0.750
0.500 0.500 0.500
0.000 0.000 0.000
```


No. 15
A crystal of KNaPt2 relaxed with PBEsol, computed with meta-GGA SCAN.

E_form ... 0.074 eV per atom

```
KNaPt2
1.0
-3.380 -1.208 -3.083
-1.284 -3.583 2.811
-4.001 8.297 4.766
Na Pt K
2 4 2
Direct
0.750 0.250 0.500
0.500 0.500 0.000
0.625 0.450 0.750
0.700 0.375 0.250
0.550 0.875 0.250
0.125 0.300 0.750
0.250 0.750 0.500
0.000 0.000 0.000
```


No. 16
A crystal of K2NaZnPt relaxed with PBEsol, computed with meta-GGA SCAN.

E_form ... 0.721 eV per atom

```
K2NaZnPt
1.0
-2.435 4.189 -1.372
-4.256 -3.176 -2.140
-2.645 0.124 5.076
Zn K Pt Na
1 2 1 1
Direct
0.500 0.000 0.000
0.000 0.000 0.500
0.000 0.500 0.000
0.500 0.500 0.500
0.000 0.000 0.000
```


No. 17
A crystal of K2RbNa2 relaxed with PBEsol, computed with meta-GGA SCAN.

E_form ... 0.027 eV per atom
Energy above the lowest structure with this stoichiometry ... 0.0000 eV/atom

```
K2RbNa2
1.0
-4.062 -0.839 -1.518
4.332 -2.102 -10.427
1.258 -11.078 2.756
Rb Na K
2 4 4
Direct
0.000 0.000 0.000
0.000 0.500 0.500
0.500 0.335 0.165
0.500 0.835 0.335
0.500 0.665 0.835
0.500 0.165 0.665
0.000 0.632 0.132
0.000 0.368 0.868
0.000 0.132 0.368
0.000 0.868 0.632
```


No. 18
A crystal of K2Rb2Na relaxed with PBEsol, computed with meta-GGA SCAN.

E_form ... 0.091 eV per atom

```
K2Rb2Na
1.0
-0.368 6.562 -2.204
-10.068 0.173 2.194
2.131 3.318 9.522
K Rb Na
4 4 2
Direct
0.500 0.168 0.668
0.500 0.832 0.332
0.500 0.668 0.832
0.500 0.332 0.168
0.000 0.148 0.352
0.000 0.352 0.852
0.000 0.852 0.648
0.000 0.648 0.148
0.000 0.500 0.500
0.000 0.000 0.000
```


No. 19
A crystal of K2RbNa2 relaxed with PBEsol, computed with meta-GGA SCAN.

E_form ... 0.056 eV per atom
Energy above the lowest structure with this stoichiometry ... 0.0291 eV/atom

```
K2RbNa2
1.0
-3.772 2.652 -1.313
-2.486 -1.686 3.736
7.670 9.760 6.432
K Na Rb
2 2 1
Direct
0.373 0.373 0.747
0.627 0.627 0.253
0.750 0.250 0.500
0.250 0.750 0.500
0.000 0.000 0.000
```


No. 20
A crystal of KNa2S2 relaxed with PBEsol, computed with meta-GGA SCAN.

Raw formation energy ... -4.95 eV/f.u.

```
KNa2S2
1.0
-0.927 -1.952 -2.333
7.764 -2.928 -0.634
-1.759 -5.881 5.619
K Na S
2 4 4
Direct
0.000 0.000 0.000
0.000 0.500 0.500
0.500 0.126 0.626
0.500 0.374 0.126
0.500 0.874 0.374
0.500 0.626 0.874
0.000 0.670 0.170
0.000 0.330 0.830
0.000 0.830 0.670
0.000 0.170 0.330
```


no.,VASP energy (eV per atom),total magnetic moment (μB per cell)
1,-10.695,0.2
2,-17.934,0.0
3,-21.859,2.6
4,-8.507,0.0
5,-8.716,0.0
6,-8.384,0.0
7,-11.686,0.0
8,-20.144,0.0
9,-33.922,0.0
10,-20.277,0.0
11,-24.574,3.3
12,-12.185,0.0
13,-10.724,0.0
14,-22.663,0.0
15,-38.159,0.0
16,-20.195,0.0
17,-9.138,0.2
18,-12.379,0.0
19,-9.109,0.0
20,-8.194,0.0